1.
A plane-wave DFT calculation with PBE-GGA was carried out for TaFeTe6 after structural relaxation.

```
data_TaFeTe6
_cell_length_a 6.463
_cell_length_b 6.695
_cell_length_c 6.758
_cell_angle_alpha 87.44
_cell_angle_beta 61.47
_cell_angle_gamma 62.43
_space_group_name_H-M_alt 'P -1'
_space_group_IT_number 2
_space_group_name_Hall '-P 1'
loop_
_atom_site_label
_atom_site_fract_x
_atom_site_fract_y
_atom_site_fract_z
Ta1 0.000 0.000 0.000
Fe1 0.000 0.500 0.500
Te1 0.115 0.104 0.312
Te2 0.173 0.285 0.768
Te3 0.496 0.410 0.206
```

ΔE_f (raw): -0.014 eV/atom
DOS(E_F): 0.852 states/eV/atom

***

2.
A plane-wave DFT calculation with PBE-GGA was carried out for Ta4FeTe4 after structural relaxation.

```
data_Ta4FeTe4
_cell_length_a 10.975
_cell_length_b 19.287
_cell_length_c 4.859
_cell_angle_alpha 90.00
_cell_angle_beta 90.00
_cell_angle_gamma 90.00
_space_group_name_H-M_alt 'P b a m'
_space_group_IT_number 55
_space_group_name_Hall '-P 2 2ab'
loop_
_atom_site_label
_atom_site_fract_x
_atom_site_fract_y
_atom_site_fract_z
Ta1 0.064 0.113 0.000
Ta2 0.096 0.894 0.500
Ta3 0.186 0.054 0.500
Ta4 0.200 0.964 0.000
Fe1 0.000 0.000 0.250
Te1 0.111 0.196 0.500
Te2 0.155 0.437 0.500
Te3 0.165 0.817 0.000
Te4 0.177 0.594 0.000
```

ΔE_f (raw): -0.390 eV/atom
DOS(E_F): 0.727 states/eV/atom

***

3.
A plane-wave DFT calculation with PBE-GGA was carried out for Ta3FeTe after structural relaxation.

```
data_Ta3FeTe
_cell_length_a 4.652
_cell_length_b 4.652
_cell_length_c 4.652
_cell_angle_alpha 90.00
_cell_angle_beta 90.00
_cell_angle_gamma 90.00
_space_group_name_H-M_alt 'P m -3 m'
_space_group_IT_number 221
_space_group_name_Hall '-P 4 2 3'
loop_
_atom_site_label
_atom_site_fract_x
_atom_site_fract_y
_atom_site_fract_z
Ta1 0.000 0.000 0.500
Fe1 0.000 0.000 0.000
Te1 0.500 0.500 0.500
```

ΔE_f (raw): 0.691 eV/atom
energy above the most stable polymorph in this dataset: 0.000 eV per atom
DOS(E_F): 1.202 states/eV/atom